[1]
## SrCr3W (PBE)

Data for a relaxed structure of SrCr3W.

a = 4.5977 Å, b = 4.5977 Å, c = 4.5977 Å
α = 90.00°, β = 90.00°, γ = 90.00°
Closest atoms and distances in Å follow each position.
Space group Pm-3m (No. 221)
Unique sites:
Sr: 0.0000 0.0000 0.0000 [1 per cell]  6 Cr 2.30
Cr: 0.0000 0.0000 0.5000 [3 per cell]  2 Sr 2.30
W: 0.5000 0.5000 0.5000 [1 per cell]  12 Cr 3.25

Properties
Energy ... -29.1 eV per formula unit
Total moment ... 6.0 μB per formula unit
Volume ... 19.44 A^3/atom
Distance to the lowest polymorph of the same formula ... 868 kJ/mol of formula units
Energy of formation ... 2884 meV/atom


[2]
## SrCrW2 (PBE)

Data for a relaxed structure of SrCrW2.

a = 5.4821 Å, b = 10.0716 Å, c = 2.7684 Å
α = 90.00°, β = 90.00°, γ = 90.00°
Closest atoms and distances in Å follow each position.
Space group Cmmm (No. 65)
Unique sites:
Sr: 0.0000 0.0000 0.0000 [2 per cell]  2 Cr 2.74, 2 Sr 2.77
Cr: 0.0000 0.5000 0.0000 [2 per cell]  2 Sr 2.74, 2 Cr 2.77
W: 0.2500 0.2500 0.5000 [4 per cell]  4 W 2.74-2.77

Properties
Energy ... -32.1 eV per formula unit
Total moment ... 3.0 μB per formula unit
Volume ... 19.11 A^3/atom
Distance to the lowest polymorph of the same formula ... 188 kJ/mol of formula units
Energy of formation ... 1278 meV/atom


[3]
## SrCrW2 (PBE)

Data for a relaxed structure of SrCrW2.

a = 6.5323 Å, b = 6.5323 Å, c = 6.5323 Å
α = 90.00°, β = 90.00°, γ = 90.00°
Closest atoms and distances in Å follow each position.
Space group Fm-3m (No. 225)
Unique sites:
Sr: 0.0000 0.0000 0.0000 [4 per cell]  8 W 2.83
Cr: 0.0000 0.0000 0.5000 [4 per cell]  8 W 2.83
W: 0.2500 0.2500 0.2500 [8 per cell]  4 Cr 2.83, 4 Sr 2.83

Properties
Energy ... -31.4 eV per formula unit
Total moment ... 0.0 μB per formula unit
Volume ... 17.42 A^3/atom
Distance to the lowest polymorph of the same formula ... 254 kJ/mol of formula units
Energy of formation ... 1451 meV/atom


[4]
## SrCrW2 (PBE)

Data for a relaxed structure of SrCrW2.

a = 9.4609 Å, b = 3.1920 Å, c = 6.0177 Å
α = 90.00°, β = 102.91°, γ = 90.00°
Closest atoms and distances in Å follow each position.
Space group Cm (No. 8)
Unique sites:
Sr: 0.0000 0.0000 0.0000 [2 per cell]  2 Sr 3.19, 3 Cr 3.35-3.45, 7 W 3.37-3.52
Cr: 0.2192 0.0000 0.6325 [2 per cell]  4 W 2.39-2.50
W: 0.0136 0.5000 0.5120 [2 per cell]  2 Cr 2.50, 2 W 2.65
W: 0.2871 0.5000 0.3798 [2 per cell]  2 Cr 2.39, 2 W 2.65

Properties
Energy ... -33.5 eV per formula unit
Total moment ... 0.0 μB per formula unit
Volume ... 22.14 A^3/atom
Distance to the lowest polymorph of the same formula ... 49 kJ/mol of formula units
Energy of formation ... 918 meV/atom


[5]
## SrCrW2 (PBE)

Data for a relaxed structure of SrCrW2.

a = 3.0100 Å, b = 3.0100 Å, c = 28.4671 Å
α = 90.00°, β = 90.00°, γ = 120.00°
Closest atoms and distances in Å follow each position.
Space group R-3m (No. 166, hexagonal axes)
Unique sites:
Sr: 0.0000 0.0000 0.0000 [3 per cell]  6 Sr 3.01, 6 W 3.36
Cr: 0.0000 0.0000 0.5000 [3 per cell]  6 W 2.55
W: 0.0000 0.0000 0.2322 [6 per cell]  3 Cr 2.55

Properties
Energy ... -33.1 eV per formula unit
Total moment ... 0.4 μB per formula unit
Volume ... 18.61 A^3/atom
Distance to the lowest polymorph of the same formula ... 93 kJ/mol of formula units
Energy of formation ... 1032 meV/atom


[6]
## SrCrW2 (PBE)

Data for a relaxed structure of SrCrW2.

a = 3.0326 Å, b = 5.1122 Å, c = 9.6780 Å
α = 90.00°, β = 90.00°, γ = 90.00°
Closest atoms and distances in Å follow each position.
Space group Imm2 (No. 44)
Unique sites:
Sr: 0.0000 0.0000 0.0000 [2 per cell]  2 Cr 3.00, 8 W 3.00-3.29, 2 Sr 3.03
Cr: 0.0000 0.5000 0.2330 [2 per cell]  2 W 2.38
W: 0.0000 0.0000 0.5435 [2 per cell]  2 Cr 2.38
W: 0.0000 0.5000 0.7860 [2 per cell]  4 W 2.92-3.03, 4 Cr 3.02, 2 Sr 3.16

Properties
Energy ... -32.2 eV per formula unit
Total moment ... 0.0 μB per formula unit
Volume ... 18.75 A^3/atom
Distance to the lowest polymorph of the same formula ... 179 kJ/mol of formula units
Energy of formation ... 1254 meV/atom


[7]
## SrCr2W2 (PBE)

Data for a relaxed structure of SrCr2W2.

a = 4.1463 Å, b = 4.1463 Å, c = 11.4578 Å
α = 90.00°, β = 90.00°, γ = 90.00°
Closest atoms and distances in Å follow each position.
Space group I4/mmm (No. 139)
Unique sites:
Sr: 0.0000 0.0000 0.0000 [2 per cell]  8 Cr 3.28, 8 W 3.54
Cr: 0.0000 0.0000 0.3711 [4 per cell]  4 W 2.49
W: 0.0000 0.5000 0.2500 [4 per cell]  4 Cr 2.49

Properties
Energy ... -43.4 eV per formula unit
Total moment ... 1.0 μB per formula unit
Volume ... 19.70 A^3/atom
Distance to the lowest polymorph of the same formula ... 0 kJ/mol of formula units
Energy of formation ... 688 meV/atom


[8]
## SrCrW2 (PBE)

Data for a relaxed structure of SrCrW2.

a = 5.0406 Å, b = 5.0406 Å, c = 16.4455 Å
α = 90.00°, β = 90.00°, γ = 90.00°
Closest atoms and distances in Å follow each position.
Space group I4_1/amd (No. 141, origin choice 2)
Unique sites:
Sr: 0.0000 0.2500 0.3750 [4 per cell]  8 W 3.49, 4 Cr 3.56
Cr: 0.0000 0.2500 0.8750 [4 per cell]  4 W 2.41
W: 0.0000 0.0000 0.0000 [8 per cell]  2 Cr 2.41, 2 W 2.52

Properties
Energy ... -31.0 eV per formula unit
Total moment ... 0.0 μB per formula unit
Volume ... 26.11 A^3/atom
Distance to the lowest polymorph of the same formula ... 293 kJ/mol of formula units
Energy of formation ... 1552 meV/atom